# 1
This record from Alexandria describes a relaxed Cd5NiAu crystal. The functional is PBE-GGA.

Output
* space-group type: C2/c (15)
* DFT total energy: -25.61 eV per cell

Lattice parameters (Å, degrees): 6.7702 6.7702 9.9014 70.35 70.35 67.39
Last column: nearest neighbours and their distance in Å.
Sites, in units of the cell vectors:
Cd  0.9909  0.0091  0.2500  2 Ni 2.48
Cd  0.7288  0.7877  0.6137  1 Ni 2.50, 1 Au 2.73
Cd  0.3017  0.6527  0.4522  1 Ni 2.52
Cd  0.2712  0.2123  0.3863  1 Ni 2.50, 1 Au 2.73
Cd  0.0091  0.9909  0.7500  2 Ni 2.48
Cd  0.6983  0.3473  0.5478  1 Ni 2.52
Cd  0.6527  0.3017  0.9522  1 Ni 2.52
Cd  0.2123  0.2712  0.8863  1 Ni 2.50, 1 Au 2.73
Cd  0.7877  0.7288  0.1137  1 Ni 2.50, 1 Au 2.73
Cd  0.3473  0.6983  0.0478  1 Ni 2.52
Au  0.3935  0.6065  0.7500  5 Cd 2.73-2.89
Au  0.6065  0.3935  0.2500  5 Cd 2.73-2.89
Ni  0.0000  0.0000  0.0000  6 Cd 2.48-2.52
Ni  0.0000  0.0000  0.5000  6 Cd 2.48-2.52



# 2
This record from Alexandria describes a relaxed Cd2NiAu crystal. The functional is PBE-GGA.

Output
* space-group type: Fm-3m (225)
* polymorph energy (0 for the lowest one): 0.013 eV/atom

Lattice parameters (Å, degrees): 4.6294 4.6294 4.6294 60.00 60.00 60.00
Last column: nearest neighbours and their distance in Å.
Sites, in units of the cell vectors:
Ni  0.0000  0.0000  0.0000  8 Cd 2.83
Cd  0.7500  0.7500  0.7500  4 Ni 2.83, 4 Au 2.83
Cd  0.2500  0.2500  0.2500  4 Ni 2.83, 4 Au 2.83
Au  0.5000  0.5000  0.5000  8 Cd 2.83



# 3
This record from Alexandria describes a relaxed Cd2NiAu crystal. The functional is PBE-GGA.

Output
* space-group type: C2/m (12)
* polymorph energy (0 for the lowest one): 0.069 eV/atom

Lattice parameters (Å, degrees): 4.8934 4.8934 5.1300 77.89 77.89 36.06
Last column: nearest neighbours and their distance in Å.
Sites, in units of the cell vectors:
Ni  0.7500  0.7500  0.7500  6 Cd 2.75-2.93, 4 Au 2.98, 2 Ni 3.03
Au  0.2500  0.2500  0.2500  6 Cd 2.86-2.92, 4 Ni 2.98, 2 Au 3.03
Cd  0.4902  0.4902  0.5139  3 Ni 2.75-2.93, 3 Au 2.86-2.92, 6 Cd 2.90-3.07
Cd  0.0098  0.0098  0.9861  3 Ni 2.75-2.93, 3 Au 2.86-2.92, 6 Cd 2.90-3.07



# 4
This record from Alexandria describes a relaxed CdNi2Au2 crystal. The functional is PBE-GGA.

Output
* space-group type: P4/mbm (127)
* polymorph energy (0 for the lowest one): 0.000 eV/atom

Lattice parameters (Å, degrees): 7.1119 7.1119 3.1742 90.00 90.00 90.00
Last column: nearest neighbours and their distance in Å.
Sites, in units of the cell vectors:
Ni  0.3744  0.8744  0.0000  1 Ni 2.53, 6 Au 2.61-2.64, 2 Cd 2.81
Ni  0.6256  0.1256  0.0000  1 Ni 2.53, 6 Au 2.61-2.64, 2 Cd 2.81
Ni  0.1256  0.3744  0.0000  1 Ni 2.53, 6 Au 2.61-2.64, 2 Cd 2.81
Ni  0.8744  0.6256  0.0000  1 Ni 2.53, 6 Au 2.61-2.64, 2 Cd 2.81
Au  0.8316  0.3316  0.5000  6 Ni 2.61-2.64
Au  0.1684  0.6684  0.5000  6 Ni 2.61-2.64
Au  0.3316  0.1684  0.5000  6 Ni 2.61-2.64
Au  0.6684  0.8316  0.5000  6 Ni 2.61-2.64
Cd  0.5000  0.5000  0.0000  4 Ni 2.81, 8 Au 3.08
Cd  0.0000  0.0000  0.0000  4 Ni 2.81, 8 Au 3.08